# 1
BaBSe3 | the Alexandria database | PBE | optimized geometry; distance to the lowest polymorph of the same formula = 0.000 eV/atom; formation energy from raw total energies = -882.2 meV/atom
1.0
8.206 0.000 0.000
0.000 7.092 0.000
-7.400 0.000 9.896
Ba B Se
4 4 12
direct
0.227 0.208 0.143 Ba
0.227 0.292 0.643 Ba
0.773 0.708 0.357 Ba
0.773 0.792 0.857 Ba
0.322 0.720 0.500 B
0.322 0.780 0.000 B
0.678 0.220 0.000 B
0.678 0.280 0.500 B
0.163 0.522 0.371 Se
0.163 0.978 0.871 Se
0.261 0.694 0.124 Se
0.261 0.806 0.624 Se
0.432 0.163 0.477 Se
0.432 0.337 0.977 Se
0.568 0.663 0.023 Se
0.568 0.837 0.523 Se
0.739 0.194 0.376 Se
0.739 0.306 0.876 Se
0.837 0.022 0.129 Se
0.837 0.478 0.629 Se

***

# 2
Ba2B4Se13 | the Alexandria database | PBE | optimized geometry; formation energy from raw total energies = -557.9 meV/atom
1.0
12.994 0.000 0.000
0.000 11.962 0.000
-3.208 0.000 12.870
Ba B Se
8 16 52
direct
0.099 0.105 0.215 Ba
0.099 0.395 0.715 Ba
0.362 0.590 0.108 Ba
0.362 0.910 0.608 Ba
0.638 0.090 0.392 Ba
0.638 0.410 0.892 Ba
0.901 0.605 0.285 Ba
0.901 0.895 0.785 Ba
0.032 0.726 0.090 B
0.032 0.774 0.590 B
0.215 0.220 0.518 B
0.215 0.280 0.018 B
0.238 0.732 0.297 B
0.238 0.768 0.797 B
0.485 0.732 0.401 B
0.485 0.768 0.901 B
0.515 0.232 0.099 B
0.515 0.268 0.599 B
0.762 0.232 0.203 B
0.762 0.268 0.703 B
0.785 0.720 0.982 B
0.785 0.780 0.482 B
0.968 0.226 0.410 B
0.968 0.274 0.910 B
0.036 0.150 0.836 Se
0.036 0.350 0.336 Se
0.084 0.116 0.485 Se
0.084 0.384 0.985 Se
0.106 0.683 0.496 Se
0.106 0.817 0.996 Se
0.134 0.625 0.198 Se
0.134 0.875 0.698 Se
0.165 0.675 0.892 Se
0.165 0.825 0.392 Se
0.183 0.114 0.984 Se
0.183 0.386 0.484 Se
0.280 0.205 0.675 Se
0.280 0.295 0.175 Se
0.295 0.642 0.716 Se
0.295 0.858 0.216 Se
0.306 0.142 0.431 Se
0.306 0.358 0.931 Se
0.357 0.624 0.372 Se
0.357 0.876 0.872 Se
0.421 0.159 0.184 Se
0.421 0.341 0.684 Se
0.440 0.606 0.867 Se
0.440 0.894 0.367 Se
0.454 0.230 0.941 Se
0.454 0.270 0.441 Se
0.546 0.730 0.559 Se
0.546 0.770 0.059 Se
0.560 0.106 0.633 Se
0.560 0.394 0.133 Se
0.579 0.659 0.316 Se
0.579 0.841 0.816 Se
0.643 0.124 0.128 Se
0.643 0.376 0.628 Se
0.694 0.642 0.069 Se
0.694 0.858 0.569 Se
0.705 0.142 0.784 Se
0.705 0.358 0.284 Se
0.720 0.705 0.825 Se
0.720 0.795 0.325 Se
0.817 0.614 0.516 Se
0.817 0.886 0.016 Se
0.835 0.175 0.608 Se
0.835 0.325 0.108 Se
0.866 0.125 0.302 Se
0.866 0.375 0.802 Se
0.894 0.183 0.004 Se
0.894 0.317 0.504 Se
0.916 0.616 0.015 Se
0.916 0.884 0.515 Se
0.964 0.650 0.664 Se
0.964 0.850 0.164 Se

***

# 3
BaB2Se6 | the Alexandria database | PBE | optimized geometry; formation energy from raw total energies = -580.0 meV/atom
1.0
5.757 -3.884 0.000
5.757 3.884 0.000
0.000 0.000 10.639
Ba B Se
2 4 12
direct
0.000 0.000 0.000 Ba
0.500 0.500 0.500 Ba
0.113 0.113 0.500 B
0.387 0.387 0.000 B
0.613 0.613 0.000 B
0.887 0.887 0.500 B
0.021 0.392 0.592 Se
0.098 0.902 0.636 Se
0.108 0.479 0.908 Se
0.392 0.021 0.408 Se
0.402 0.598 0.136 Se
0.479 0.108 0.092 Se
0.521 0.892 0.908 Se
0.598 0.402 0.864 Se
0.608 0.979 0.592 Se
0.892 0.521 0.092 Se
0.902 0.098 0.364 Se
0.979 0.608 0.408 Se

***

# 4
BaB3Se | the Alexandria database | PBE | optimized geometry; distance to the lowest polymorph of the same formula = 0.000 eV/atom; formation energy from raw total energies = 1528.4 meV/atom
1.0
4.441 0.000 0.000
0.000 4.441 0.000
0.000 0.000 4.441
Ba B Se
1 3 1
direct
0.000 0.000 0.000 Ba
0.000 0.500 0.500 B
0.500 0.000 0.500 B
0.500 0.500 0.000 B
0.500 0.500 0.500 Se

***

# 5
Ba2BSe | the Alexandria database | PBE | optimized geometry; distance to the lowest polymorph of the same formula = 0.000 eV/atom; formation energy from raw total energies = -204.3 meV/atom
1.0
7.874 0.000 0.000
0.000 7.874 0.000
0.000 0.000 7.874
Ba B Se
8 4 4
direct
0.250 0.250 0.250 Ba
0.250 0.250 0.750 Ba
0.250 0.750 0.250 Ba
0.250 0.750 0.750 Ba
0.750 0.250 0.250 Ba
0.750 0.250 0.750 Ba
0.750 0.750 0.250 Ba
0.750 0.750 0.750 Ba
0.000 0.000 0.000 B
0.000 0.500 0.500 B
0.500 0.000 0.500 B
0.500 0.500 0.000 B
0.000 0.000 0.500 Se
0.000 0.500 0.000 Se
0.500 0.000 0.000 Se
0.500 0.500 0.500 Se

***

# 6
BaBSe2 | the Alexandria database | PBE | optimized geometry; formation energy from raw total energies = -466.2 meV/atom
1.0
7.050 0.000 0.000
0.000 7.050 0.000
0.000 0.000 7.817
Ba B Se
4 4 8
direct
0.000 0.000 0.000 Ba
0.000 0.500 0.250 Ba
0.500 0.000 0.750 Ba
0.500 0.500 0.500 Ba
0.000 0.000 0.500 B
0.000 0.500 0.750 B
0.500 0.000 0.250 B
0.500 0.500 0.000 B
0.120 0.750 0.625 Se
0.250 0.120 0.375 Se
0.250 0.380 0.875 Se
0.380 0.750 0.125 Se
0.620 0.250 0.125 Se
0.750 0.620 0.875 Se
0.750 0.880 0.375 Se
0.880 0.250 0.625 Se